# 1
NaCu4Ge4 | PBE | relaxed

Calculated values
DFT formation energy, meV/atom: 93

a b c (Å): 4.963 8.232 8.232
angles (deg): 90.00 90.00 90.00
Positions (direct):
Na: 0.000 0.000 0.000
Na: 0.500 0.500 0.500
Cu: 0.592 0.835 0.330
Cu: 0.592 0.165 0.670
Cu: 0.092 0.830 0.665
Cu: 0.908 0.335 0.830
Cu: 0.908 0.665 0.170
Cu: 0.408 0.330 0.165
Cu: 0.408 0.670 0.835
Cu: 0.092 0.170 0.335
Ge: 0.405 0.365 0.867
Ge: 0.905 0.633 0.865
Ge: 0.405 0.635 0.133
Ge: 0.095 0.135 0.633
Ge: 0.595 0.867 0.635
Ge: 0.095 0.865 0.367
Ge: 0.905 0.367 0.135
Ge: 0.595 0.133 0.365

=====

# 2
OsRu3F | PBE | relaxed

Calculated values
Energy relative to the lowest polymorph listed for this composition, meV/atom: 514
Formation energy (no corrections), kcal/mol of atoms: 38.4

a b c (Å): 4.724 4.724 4.724
angles (deg): 90.00 90.00 90.00
Each line ends with the local moment (μB).
Positions (direct):
Ru: 0.000 0.500 0.000  1.24
Ru: 0.000 0.000 0.500  1.35
Ru: 0.500 0.000 0.000  0.95
Os: 0.000 0.000 0.000  -0.15
F: 0.500 0.500 0.500  0.10

=====

# 3
NaLiHgPd | PBE | relaxed

Calculated values
DFT formation energy, meV/atom: -262

a b c (Å): 4.720 4.720 4.720
angles (deg): 60.00 60.00 60.00
Positions (direct):
Na: 0.250 0.250 0.250
Hg: 0.750 0.750 0.750
Pd: 0.500 0.500 0.500
Li: 0.000 0.000 0.000

=====

# 4
Mn2TcHg | PBE | relaxed

Calculated values
DFT formation energy, meV/atom: 524

a b c (Å): 4.611 4.611 4.958
angles (deg): 80.13 80.13 35.07
Each line ends with the local moment (μB).
Positions (direct):
Hg: 0.250 0.250 0.250  -0.01
Mn: 0.008 0.008 0.935  1.14
Mn: 0.492 0.492 0.565  1.14
Tc: 0.750 0.750 0.750  -0.42

=====

# 5
Ge3PdBr | PBE | relaxed

Calculated values
Energy relative to the lowest polymorph listed for this composition, meV/atom: 852
Formation energy (no corrections), kcal/mol of atoms: 24.9

a b c (Å): 5.085 5.085 5.085
angles (deg): 90.00 90.00 90.00
Positions (direct):
Ge: 0.000 0.500 0.000
Ge: 0.000 0.000 0.500
Ge: 0.500 0.000 0.000
Br: 0.000 0.000 0.000
Pd: 0.500 0.500 0.500

=====

# 6
Li2ZnIn | PBE | relaxed

Calculated values
DFT formation energy, meV/atom: -218

a b c (Å): 3.179 3.179 6.770
angles (deg): 90.00 90.00 90.00
Positions (direct):
Zn: 0.500 0.500 0.250
Li: 0.000 0.000 0.028
Li: 0.000 0.000 0.472
In: 0.500 0.500 0.750

=====

# 7
Pr2Si3Pt4Au | PBE | relaxed

Calculated values
Formation energy (no corrections), kcal/mol of atoms: -21.8

a b c (Å): 4.329 4.329 10.183
angles (deg): 90.00 90.00 90.00
Positions (direct):
Pr: 0.500 0.000 0.254
Pr: 0.000 0.500 0.746
Si: 0.000 0.000 0.500
Si: 0.500 0.000 0.880
Si: 0.000 0.500 0.120
Pt: 0.500 0.500 0.000
Pt: 0.000 0.000 0.000
Pt: 0.500 0.000 0.650
Pt: 0.000 0.500 0.350
Au: 0.500 0.500 0.500

=====

# 8
Rb4Pr3TmS8 | PBE | relaxed

Calculated values
Formation energy (no corrections), kcal/mol of atoms: -41.9

a b c (Å): 8.403 9.118 8.403
angles (deg): 117.45 120.00 90.00
Positions (direct):
Rb: 0.500 0.000 0.000
Rb: 0.500 0.000 0.500
Rb: 0.000 0.000 0.000
Rb: 0.000 0.000 0.500
Pr: 0.500 0.500 0.000
Pr: 0.500 0.500 0.500
Pr: 0.000 0.500 0.500
Tm: 0.000 0.500 0.000
S: 0.226 0.695 0.969
S: 0.226 0.695 0.451
S: 0.267 0.300 0.533
S: 0.744 0.695 0.969
S: 0.256 0.305 0.031
S: 0.733 0.700 0.467
S: 0.774 0.305 0.549
S: 0.774 0.305 0.031

=====

# 9
Y2HoIn2Ag2 | PBE | relaxed

Calculated values
DFT formation energy, meV/atom: -287

a b c (Å): 4.824 4.824 9.413
angles (deg): 75.15 75.15 60.00
Positions (direct):
Y: 0.126 0.126 0.623
Y: 0.874 0.874 0.377
Ho: 0.000 0.000 0.000
In: 0.740 0.740 0.781
In: 0.260 0.260 0.219
Ag: 0.605 0.605 0.185
Ag: 0.395 0.395 0.815

=====

# 10
B2C | PBE | relaxed

Calculated values
DFT formation energy, meV/atom: 350
Energy relative to the lowest polymorph listed for this composition, meV/atom: 165

a b c (Å): 4.307 4.307 9.012
angles (deg): 62.85 62.85 36.16
Positions (direct):
B: 0.532 0.532 0.355
B: 0.709 0.709 0.120
B: 0.801 0.801 0.261
B: 0.985 0.985 0.017
B: 0.298 0.298 0.807
B: 0.390 0.390 0.965
B: 0.733 0.733 0.601
B: 0.011 0.011 0.515
C: 0.346 0.346 0.337
C: 0.173 0.173 0.031
C: 0.825 0.825 0.715
C: 0.196 0.196 0.526

=====

# 11
Pr2CoRu | PBE | relaxed

Calculated values
DFT formation energy, meV/atom: -93

a b c (Å): 4.149 4.151 7.401
angles (deg): 73.71 73.72 60.02
Each line ends with the local moment (μB).
Positions (direct):
Pr: 0.892 0.655 0.561  -0.04
Pr: 0.713 0.476 0.098  -0.04
Co: 0.471 0.234 0.823  0.78
Ru: 0.134 0.897 0.835  0.31

=====

# 12
ErZrHgC | PBE | relaxed

Calculated values
DFT formation energy, meV/atom: -487

a b c (Å): 3.438 3.435 7.930
angles (deg): 90.00 102.49 119.97
Positions (direct):
Er: 0.521 0.159 0.694
Zr: 0.081 0.939 0.035
Hg: 0.961 0.378 0.355
C: 0.315 0.555 0.885